The following is a DFT calculation (PBE-GGA) of a geometry-optimized Pm2Ge6Os structure.

The structure in extended XYZ format:
```
9
Lattice="3.921 0.000 -0.747 0.000 4.284 0.000 0.135 0.000 11.373" Properties=species:S:1:pos:R:3 pbc="T T T"
Pm 1.407 0.000 7.386
Pm 4.042 0.000 10.551
Ge 2.865 0.000 4.372
Ge 0.877 2.142 4.603
Ge 0.407 2.142 2.136
Ge 2.393 0.000 1.897
Ge 1.906 2.142 10.006
Ge 3.567 2.142 8.058
Os 3.105 2.142 5.635
```

Its formation energy is -0.3623 eV per atom. As for the symmetry: Amm2, No. 38. The value obtained for the energy above the most stable polymorph in this dataset is 0.0 meV/atom.